Entry 1:
Compound: Ba2Li2Tl5Cd
Source: the Alexandria database
Functional: PBE-GGA
Structure: relaxed

```
Ba2Li2Tl5Cd
1.0
11.484 0.000 0.000
0.000 11.484 0.000
0.000 0.000 4.400
Ba Li Tl Cd
4 4 10 2
Cartesian
2.127 3.615 0.000 Ba
3.615 9.357 0.000 Ba
7.869 2.127 0.000 Ba
9.357 7.869 0.000 Ba
1.272 7.014 0.000 Li
4.470 1.272 0.000 Li
7.014 10.212 0.000 Li
10.212 4.470 0.000 Li
0.000 5.742 2.200 Tl
0.637 9.175 2.200 Tl
2.309 0.637 2.200 Tl
3.433 6.379 2.200 Tl
5.105 3.433 2.200 Tl
5.742 0.000 2.200 Tl
6.379 8.051 2.200 Tl
8.051 5.105 2.200 Tl
9.175 10.847 2.200 Tl
10.847 2.309 2.200 Tl
0.000 0.000 0.000 Cd
5.742 5.742 0.000 Cd
```

Output
As for the crystal system: tetragonal. The energy of formation from the pure elements comes out at -255 meV/atom. The symmetry is P4/mbm (127). The calculation puts the density of states at the Fermi level at 5.48 states/eV/f.u.



Entry 2:
Compound: BaLiTlCd2
Source: the Alexandria database
Functional: PBE-GGA
Structure: relaxed

```
BaLiTlCd2
1.0
5.247 0.000 0.000
0.000 5.247 0.000
0.000 0.000 5.274
Ba Li Tl Cd
1 1 1 2
Cartesian
0.000 0.000 0.000 Ba
2.623 2.623 2.637 Li
2.623 2.623 0.000 Tl
0.000 2.623 2.637 Cd
2.623 0.000 2.637 Cd
```

Output
As for the crystal system: tetragonal. The energy of formation from the pure elements comes out at -194 meV/atom. The symmetry is P4/mmm (123). The calculation puts the density of states at the Fermi level at 2.94 states/eV/f.u.



Entry 3:
Compound: BaLi4TlCd2
Source: the Alexandria database
Functional: PBE-GGA
Structure: relaxed

```
BaLi4TlCd2
1.0
2.420 1.397 9.902
-2.420 1.397 9.902
0.000 -2.794 9.902
Ba Li Tl Cd
1 4 1 2
Cartesian
0.000 0.000 0.000 Ba
0.000 0.000 4.026 Li
0.000 0.000 12.188 Li
0.000 0.000 17.519 Li
0.000 0.000 25.681 Li
0.000 0.000 14.854 Tl
0.000 0.000 7.142 Cd
0.000 0.000 22.565 Cd
```

Output
As for the crystal system: trigonal. The energy of formation from the pure elements comes out at -185 meV/atom. The symmetry is R-3m (166). The calculation puts the density of states at the Fermi level at 4.98 states/eV/f.u.



Question: Which of these has the highest energy of formation from the pure elements?
Answer: BaLi4TlCd2



Question: Among the records above, which one has the highest energy of formation from the pure elements?
Answer: BaLi4TlCd2



Question: Which value of energy of formation from the pure elements does entry 2 give?
Answer: -194 meV/atom